# Pr3Cu2P4

A relaxed Pr3Cu2P4 crystal (GGA-PBE, the Alexandria database).

The crystal system is monoclinic. Its energy of formation from the pure elements is -8.7 eV/f.u.

Structure (POSCAR):
```
Pr3Cu2P4
1.0
6.464 -2.003 0.000
6.464 2.003 0.000
-4.458 0.000 7.303
Pr Cu P
3 2 4
Direct
0.000 0.000 0.000
0.362 0.362 0.274
0.638 0.638 0.726
0.319 0.319 0.625
0.681 0.681 0.375
0.091 0.091 0.408
0.320 0.320 0.901
0.680 0.680 0.099
0.909 0.909 0.592
```